Here is a relaxed CePm4N4 crystal from Alexandria. Energies are from PBE-GGA.

The space group is C2/m (No. 12) and the conventional cell measures 12.075, 3.599 and 8.945 Å, with angles of 90.00, 119.98 and 90.00 degrees. The asymmetric unit holds Ce at (0.000, 0.000, 0.000), Pm at (0.107, 0.500, 0.387), Pm at (0.205, 0.000, 0.811), N at (0.099, 0.500, 0.907) and N at (0.197, 0.000, 0.301).

The calculation puts the magnetization at 1.02 μB/cell. The uncorrected energy is -7.76 eV per atom. As for the mass density: 7656 kg/m³. As for the relative energy among the computed polymorphs: 0.0 meV/atom.